Record 1
Crystalline ScHIr3 at its relaxed geometry, computed with PBE-GGA.

The structure in CIF format:
```
data_ScHIr3
_space_group_name_H-M_alt 'P 1'
_space_group_IT_number 1
_cell_length_a 20.1009
_cell_length_b 5.6383
_cell_length_c 9.3519
_cell_angle_alpha 90.00
_cell_angle_beta 165.98
_cell_angle_gamma 90.00
loop_
_space_group_symop_operation_xyz
'x,y,z'
loop_
_atom_site_label
_atom_site_type_symbol
_atom_site_fract_x
_atom_site_fract_y
_atom_site_fract_z
Ir1 Ir 0.8705 0.9961 0.3689
Sc1 Sc 0.8806 0.7501 0.8888
H1 H 0.5046 0.2502 0.0355
Ir2 Ir 0.1130 0.7499 0.0981
Ir3 Ir 0.6294 0.0037 0.1310
Ir4 Ir 0.1294 0.4963 0.6310
H2 H 0.4954 0.7498 0.9645
Sc2 Sc 0.1194 0.2499 0.1112
Sc3 Sc 0.3806 0.7499 0.3888
H3 H 0.0046 0.2498 0.5355
Ir5 Ir 0.6130 0.7501 0.5981
Ir6 Ir 0.3870 0.2499 0.4019
Ir7 Ir 0.8870 0.2501 0.9019
Ir8 Ir 0.3706 0.9963 0.8690
Ir9 Ir 0.6295 0.4961 0.1311
Sc4 Sc 0.6194 0.2501 0.6112
H4 H 0.9954 0.7502 0.4645
Ir10 Ir 0.8706 0.5037 0.3690
Ir11 Ir 0.3705 0.5039 0.8689
Ir12 Ir 0.1295 0.0039 0.6311
```

## Properties
The space group is P2_1/m.

---

Record 2
Crystalline ScHIr3 at its relaxed geometry, computed with PBE-GGA.

The structure in CIF format:
```
data_ScHIr3
_space_group_name_H-M_alt 'P 1'
_space_group_IT_number 1
_cell_length_a 10.9448
_cell_length_b 7.3024
_cell_length_c 7.3024
_cell_angle_alpha 95.01
_cell_angle_beta 130.06
_cell_angle_gamma 49.94
loop_
_space_group_symop_operation_xyz
'x,y,z'
loop_
_atom_site_label
_atom_site_type_symbol
_atom_site_fract_x
_atom_site_fract_y
_atom_site_fract_z
Ir1 Ir 0.1106 0.9604 0.7575
Sc1 Sc 0.2500 0.4739 0.9739
Ir2 Ir 0.9275 0.4584 0.5450
Sc2 Sc 0.7500 0.2026 0.7026
Ir3 Ir 0.5725 0.0450 0.9584
Ir4 Ir 0.4275 0.9550 0.0416
Ir5 Ir 0.0982 0.2423 0.0279
H1 H 0.8593 0.8194 0.7124
Sc3 Sc 0.2500 0.7974 0.2974
H2 H 0.1407 0.1806 0.2876
Ir6 Ir 0.4018 0.5279 0.7423
Ir7 Ir 0.0725 0.5416 0.4550
Ir8 Ir 0.8894 0.0396 0.2425
Sc4 Sc 0.7500 0.5261 0.0261
Ir9 Ir 0.6106 0.7425 0.5396
H3 H 0.3593 0.7876 0.6806
Ir10 Ir 0.5982 0.4721 0.2577
H4 H 0.6407 0.2124 0.3194
Ir11 Ir 0.3894 0.2575 0.4604
Ir12 Ir 0.9018 0.7577 0.9721
```

## Properties
The space group is C2/c.

---

Record 3
Crystalline Sc2HIr at its relaxed geometry, computed with PBE-GGA.

The structure in CIF format:
```
data_Sc2HIr
_space_group_name_H-M_alt 'P 1'
_space_group_IT_number 1
_cell_length_a 3.2190
_cell_length_b 6.3401
_cell_length_c 6.8632
_cell_angle_alpha 110.45
_cell_angle_beta 103.57
_cell_angle_gamma 89.99
loop_
_space_group_symop_operation_xyz
'x,y,z'
loop_
_atom_site_label
_atom_site_type_symbol
_atom_site_fract_x
_atom_site_fract_y
_atom_site_fract_z
Sc1 Sc 0.0359 0.5220 0.6463
H1 H 0.2257 0.1826 0.0255
Sc2 Sc 0.3461 0.0456 0.2668
Sc3 Sc 0.3147 0.5140 0.2041
Ir1 Ir 0.7092 0.7071 0.9929
Ir2 Ir 0.9516 0.8525 0.4780
Sc4 Sc 0.6250 0.0375 0.8246
H2 H 0.4352 0.3770 0.4454
```

## Properties
The space group is C2/m.

---

Record 4
Crystalline ScHIr3 at its relaxed geometry, computed with PBE-GGA.

The structure in CIF format:
```
data_ScHIr3
_space_group_name_H-M_alt 'P 1'
_space_group_IT_number 1
_cell_length_a 2.8117
_cell_length_b 5.0449
_cell_length_c 5.0449
_cell_angle_alpha 68.86
_cell_angle_beta 90.00
_cell_angle_gamma 90.00
loop_
_space_group_symop_operation_xyz
'x,y,z'
loop_
_atom_site_label
_atom_site_type_symbol
_atom_site_fract_x
_atom_site_fract_y
_atom_site_fract_z
Ir1 Ir 0.5000 0.9598 0.5228
H1 H 0.0000 0.7377 0.2623
Ir2 Ir 0.0000 0.4501 0.5499
Sc1 Sc 0.5000 0.0032 0.9968
Ir3 Ir 0.5000 0.4772 0.0402
```

## Properties
The space group is Amm2.

---

Record 5
Crystalline ScHIr3 at its relaxed geometry, computed with PBE-GGA.

The structure in CIF format:
```
data_ScHIr3
_space_group_name_H-M_alt 'P 1'
_space_group_IT_number 1
_cell_length_a 5.1569
_cell_length_b 7.1135
_cell_length_c 7.7516
_cell_angle_alpha 90.00
_cell_angle_beta 90.00
_cell_angle_gamma 90.00
loop_
_space_group_symop_operation_xyz
'x,y,z'
loop_
_atom_site_label
_atom_site_type_symbol
_atom_site_fract_x
_atom_site_fract_y
_atom_site_fract_z
H1 H 0.8210 0.7500 0.0021
Ir1 Ir 0.5139 0.4266 0.3442
Ir2 Ir 0.9861 0.5734 0.8442
Sc1 Sc 0.5000 0.0000 0.0000
Ir3 Ir 0.5139 0.0734 0.3442
Sc2 Sc 0.0000 0.0000 0.5000
Sc3 Sc 0.5000 0.5000 0.0000
Ir4 Ir 0.4861 0.9266 0.6558
Ir5 Ir 0.2545 0.2500 0.7728
Ir6 Ir 0.7545 0.2500 0.7272
Ir7 Ir 0.9861 0.9266 0.8442
H2 H 0.1790 0.2500 0.9979
Ir8 Ir 0.7455 0.7500 0.2272
Sc4 Sc 0.0000 0.5000 0.5000
H3 H 0.3210 0.7500 0.4979
Ir9 Ir 0.0139 0.0734 0.1558
Ir10 Ir 0.0139 0.4266 0.1558
H4 H 0.6790 0.2500 0.5021
Ir11 Ir 0.4861 0.5734 0.6558
Ir12 Ir 0.2455 0.7500 0.2728
```

## Properties
The space group is Pnma.

---

Record 6
Crystalline ScH5Ir at its relaxed geometry, computed with PBE-GGA.

The structure in CIF format:
```
data_ScH5Ir
_space_group_name_H-M_alt 'P 1'
_space_group_IT_number 1
_cell_length_a 4.4531
_cell_length_b 4.4531
_cell_length_c 6.9568
_cell_angle_alpha 79.21
_cell_angle_beta 79.21
_cell_angle_gamma 107.68
loop_
_space_group_symop_operation_xyz
'x,y,z'
loop_
_atom_site_label
_atom_site_type_symbol
_atom_site_fract_x
_atom_site_fract_y
_atom_site_fract_z
H1 H 0.7304 0.2738 0.5511
H2 H 0.7738 0.2304 0.0511
H3 H 0.2262 0.7696 0.9489
Sc1 Sc 0.9419 0.5581 0.7500
Ir1 Ir 0.0000 0.0000 0.0000
H4 H 0.2696 0.7262 0.4489
H5 H 0.3089 0.1950 0.4071
Sc2 Sc 0.0581 0.4419 0.2500
H6 H 0.3050 0.1911 0.0929
Ir2 Ir 0.5000 0.5000 0.5000
H7 H 0.6911 0.8050 0.5929
H8 H 0.7508 0.7492 0.2500
H9 H 0.2492 0.2508 0.7500
H10 H 0.6950 0.8089 0.9071
```

## Properties
The space group is C2/c.

---

Record 7
Crystalline Sc2H2Ir at its relaxed geometry, computed with PBE-GGA.

The structure in CIF format:
```
data_Sc2H2Ir
_space_group_name_H-M_alt 'P 1'
_space_group_IT_number 1
_cell_length_a 6.4183
_cell_length_b 6.4183
_cell_length_c 2.9799
_cell_angle_alpha 90.00
_cell_angle_beta 90.00
_cell_angle_gamma 90.00
loop_
_space_group_symop_operation_xyz
'x,y,z'
loop_
_atom_site_label
_atom_site_type_symbol
_atom_site_fract_x
_atom_site_fract_y
_atom_site_fract_z
Ir1 Ir 0.0000 0.0000 0.0000
Sc1 Sc 0.8178 0.3178 0.5000
H1 H 0.1186 0.3814 0.0000
Sc2 Sc 0.3178 0.1822 0.5000
H2 H 0.3814 0.8814 0.0000
Sc3 Sc 0.1822 0.6822 0.5000
Sc4 Sc 0.6822 0.8178 0.5000
H3 H 0.8814 0.6186 0.0000
Ir2 Ir 0.5000 0.5000 0.0000
H4 H 0.6186 0.1186 0.0000
```

## Properties
The space group is P4/mbm.

---

Record 8
Crystalline Sc2H2Ir at its relaxed geometry, computed with PBE-GGA.

The structure in CIF format:
```
data_Sc2H2Ir
_space_group_name_H-M_alt 'P 1'
_space_group_IT_number 1
_cell_length_a 3.1369
_cell_length_b 3.1369
_cell_length_c 6.3298
_cell_angle_alpha 90.00
_cell_angle_beta 90.00
_cell_angle_gamma 90.00
loop_
_space_group_symop_operation_xyz
'x,y,z'
loop_
_atom_site_label
_atom_site_type_symbol
_atom_site_fract_x
_atom_site_fract_y
_atom_site_fract_z
Sc1 Sc 0.5000 0.5000 0.2653
H1 H 0.0000 0.5000 0.5000
H2 H 0.5000 0.0000 0.5000
Ir1 Ir 0.0000 0.0000 0.0000
Sc2 Sc 0.5000 0.5000 0.7347
```

## Properties
The space group is P4/mmm.

---

Record 9
Crystalline ScHIr3 at its relaxed geometry, computed with PBE-GGA.

The structure in CIF format:
```
data_ScHIr3
_space_group_name_H-M_alt 'P 1'
_space_group_IT_number 1
_cell_length_a 17.6496
_cell_length_b 7.8440
_cell_length_c 7.8440
_cell_angle_alpha 152.43
_cell_angle_beta 158.31
_cell_angle_gamma 21.69
loop_
_space_group_symop_operation_xyz
'x,y,z'
loop_
_atom_site_label
_atom_site_type_symbol
_atom_site_fract_x
_atom_site_fract_y
_atom_site_fract_z
H1 H 0.4274 0.2599 0.7401
H2 H 0.5726 0.7401 0.2599
Ir1 Ir 0.0481 0.3654 0.6347
Ir2 Ir 0.2832 0.7033 0.2967
Ir3 Ir 0.7168 0.2967 0.7033
Sc1 Sc 0.7877 0.0357 0.9643
Ir4 Ir 0.6956 0.5040 0.4960
Sc2 Sc 0.2123 0.9643 0.0357
Ir5 Ir 0.3044 0.4960 0.5040
Ir6 Ir 0.9519 0.6347 0.3654
```

## Properties
The space group is C2/m.

---

Record 10
Crystalline ScHIr3 at its relaxed geometry, computed with PBE-GGA.

The structure in CIF format:
```
data_ScHIr3
_space_group_name_H-M_alt 'P 1'
_space_group_IT_number 1
_cell_length_a 5.0964
_cell_length_b 5.0964
_cell_length_c 5.0964
_cell_angle_alpha 94.48
_cell_angle_beta 94.48
_cell_angle_gamma 94.48
loop_
_space_group_symop_operation_xyz
'x,y,z'
loop_
_atom_site_label
_atom_site_type_symbol
_atom_site_fract_x
_atom_site_fract_y
_atom_site_fract_z
Ir1 Ir 0.9621 0.5379 0.2500
Ir2 Ir 0.2500 0.9621 0.5379
H1 H 0.2500 0.2500 0.2500
H2 H 0.7500 0.7500 0.7500
Ir3 Ir 0.0379 0.4621 0.7500
Ir4 Ir 0.5379 0.2500 0.9621
Ir5 Ir 0.4621 0.7500 0.0379
Sc1 Sc 0.0000 0.0000 0.0000
Sc2 Sc 0.5000 0.5000 0.5000
Ir6 Ir 0.7500 0.0379 0.4621
```

## Properties
The space group is R-3c.

---

Number 1: calculated total energy -152.73 eV for the cell shown, M_tot 0.0 μB per formula unit. Number 2: calculated total energy -150.14 eV for the cell shown, M_tot 0.0 μB per formula unit. Number 3: calculated total energy -55.35 eV for the cell shown, M_tot 0.0 μB per formula unit. Number 4: calculated total energy -35.96 eV for the cell shown, M_tot 0.0 μB per formula unit. Number 5: calculated total energy -147.19 eV for the cell shown, M_tot 0.0 μB per formula unit. Number 6: calculated total energy -68.66 eV for the cell shown, M_tot 0.0 μB per formula unit. Number 7: calculated total energy -60.15 eV for the cell shown, M_tot 0.0 μB per formula unit. Number 8: calculated total energy -31.51 eV for the cell shown, M_tot 0.0 μB per formula unit. Number 9: calculated total energy -74.13 eV for the cell shown, M_tot 0.0 μB per formula unit. Number 10: calculated total energy -74.33 eV for the cell shown, M_tot 0.0 μB per formula unit.